## A
! Ca2ScPd, optimized geometry, DFT PBE; values from VASP
! Space group   I-42d
! Total moment   0.00 μB/atom
&SYSTEM
  ibrav = 0, nat = 8, ntyp = 3
/
ATOMIC_SPECIES
Ca 40.08 Ca.upf
Sc 44.96 Sc.upf
Pd 106.42 Pd.upf
ATOMIC_POSITIONS angstrom
Ca 7.440 1.258 -0.661
Ca 1.258 2.480 0.661
Ca -2.480 3.702 1.982
Ca 3.702 2.480 3.303
Sc 4.960 0.000 1.321
Sc 0.000 0.000 2.642
Pd 0.000 0.000 0.000
Pd 0.000 4.960 1.321
CELL_PARAMETERS angstrom
-4.960 4.960 2.642
4.960 -4.960 2.642
4.960 4.960 -2.642

## B
! Ca2ScPd, optimized geometry, DFT PBE; values from VASP
! Space group   Fm-3m
! Total moment   0.00 μB/atom
&SYSTEM
  ibrav = 0, nat = 4, ntyp = 3
/
ATOMIC_SPECIES
Ca 40.08 Ca.upf
Sc 44.96 Sc.upf
Pd 106.42 Pd.upf
ATOMIC_POSITIONS angstrom
Ca 1.859 1.859 1.859
Ca 5.577 5.577 5.577
Sc 0.000 0.000 0.000
Pd 3.718 3.718 3.718
CELL_PARAMETERS angstrom
0.000 3.718 3.718
3.718 0.000 3.718
3.718 3.718 0.000

From most stable to least stable, the computed energies give A, B.

## A
! CaScPd2, optimized geometry, DFT PBE; values from VASP
! Space group   P4/mmm
! Total moment   0.00 μB/atom
&SYSTEM
  ibrav = 0, nat = 4, ntyp = 3
/
ATOMIC_SPECIES
Ca 40.08 Ca.upf
Sc 44.96 Sc.upf
Pd 106.42 Pd.upf
ATOMIC_POSITIONS angstrom
Ca 0.000 0.000 0.000
Sc 2.417 2.417 0.000
Pd 0.000 2.417 1.687
Pd 2.417 0.000 1.687
CELL_PARAMETERS angstrom
4.834 0.000 0.000
0.000 4.834 0.000
0.000 0.000 3.375

## B
! CaScPd2, optimized geometry, DFT PBE; values from VASP
! Space group   P4/mmm
! Total moment   0.00 μB/atom
&SYSTEM
  ibrav = 0, nat = 4, ntyp = 3
/
ATOMIC_SPECIES
Ca 40.08 Ca.upf
Sc 44.96 Sc.upf
Pd 106.42 Pd.upf
ATOMIC_POSITIONS angstrom
Ca 0.000 0.000 0.000
Sc 0.000 0.000 3.508
Pd 1.689 1.689 1.996
Pd 1.689 1.689 5.019
CELL_PARAMETERS angstrom
3.378 0.000 0.000
0.000 3.378 0.000
0.000 0.000 7.015

From most stable to least stable, the computed energies give B, A.